Entry 1:
Crystalline Ba3BeGa at its relaxed geometry. Source: Alexandria, functional PBE.

Cell: 6.1208 6.1208 6.1208 Å, 90.00 90.00 90.00°
Each line ends with the local moment (μB).
Fractional coordinates of all 5 atoms:
Be1 0.0000 0.0000 0.0000  0.06
Ba1 0.0000 0.5000 0.0000  0.10
Ba2 0.0000 0.0000 0.5000  0.06
Ba3 0.5000 0.0000 0.0000  0.14
Ga1 0.5000 0.5000 0.5000  0.25

Calculated values
- Magnetization: 2.211 μB/cell
- ρ: 3.55 g/cm³
- Energy above the most stable polymorph in this dataset: 0 meV/atom
- Energy relative to the elements: 0.40 eV per atom
- Uncorrected energy: -10.512 eV per formula unit
- V: 45.862 Å³/atom



Entry 2:
Crystalline CuBrF at its relaxed geometry. Source: Alexandria, functional PBE.

Cell: 3.4256 3.4256 5.4556 Å, 90.00 90.00 120.00°
Each line ends with the local moment (μB).
Fractional coordinates of all 3 atoms:
Cu1 0.6667 0.3333 0.3771  0.49
Br1 0.0000 0.0000 0.0886  0.30
F1 0.3333 0.6667 0.5343  0.08

Calculated values
- Magnetization: 0.933 μB/cell
- E_form (uncorrected): -0.753 eV per atom
- ρ: 4.87 g/cm³
- Energy above the most stable polymorph in this dataset: 69 meV/atom
- Uncorrected energy: -9.899 eV per formula unit
- V: 18.481 Å³/atom



Entry 3:
Crystalline ThCo2B at its relaxed geometry. Source: Alexandria, functional PBE.

Cell: 3.8154 8.0651 8.5964 Å, 117.98 102.82 90.00°
Fractional coordinates of all 16 atoms:
Th1 0.6962 0.6962 0.3925
Th2 0.5000 0.2284 0.0000
Th3 0.5000 0.7716 0.0000
Th4 0.3038 0.3038 0.6075
Co1 0.9236 0.4236 0.8473
Co2 0.6983 0.3647 0.3965
Co3 0.6983 0.0319 0.3965
Co4 0.3017 0.6353 0.6035
Co5 0.1169 0.1169 0.2337
Co6 0.0764 0.5764 0.1527
Co7 0.8831 0.8831 0.7663
Co8 0.3017 0.9681 0.6035
B1 0.8474 0.5991 0.6949
B2 0.1526 0.4009 0.3051
B3 0.1526 0.9042 0.3051
B4 0.8474 0.0958 0.6949

Calculated values
- Magnetization: 0.000 μB/cell
- ρ: 10.60 g/cm³
- Energy relative to the elements: -0.29 eV per atom
- Uncorrected energy: -29.474 eV per formula unit
- V: 14.133 Å³/atom